## BaRu2Cl (PBE-GGA)

Data for a geometry-optimized BaRu2Cl structure.

Computed properties:
For the total energy, the calculation gives -5.246 eV per atom. The value obtained for the density of states at the Fermi level is 4.3 states/eV/f.u. The calculation puts the uncorrected formation energy at 129 kJ/mol of formula units.

Unit cell a=4.0930 b=6.1508 c=4.1582 alpha=90.00 beta=90.50 gamma=90.00
Space group P2/m (No. 10)
One atom of each set of equivalent atoms:
Ba: 0.0000 0.0000 0.0000
Ru: 0.2513 0.5000 0.6404
Cl: 0.5000 0.0000 0.5000

---

## BaRu2Cl (PBE-GGA)

Data for a geometry-optimized BaRu2Cl structure.

Computed properties:
For the total energy, the calculation gives -5.544 eV per atom. The value obtained for the density of states at the Fermi level is 3.1 states/eV/f.u. The calculation puts the uncorrected formation energy at 14 kJ/mol of formula units.

Unit cell a=4.7006 b=4.9154 c=8.4680 alpha=90.00 beta=90.00 gamma=90.00
Space group Cmm2 (No. 35)
One atom of each set of equivalent atoms:
Ba: 0.0000 0.0000 0.0000
Ru: 0.0000 0.0000 0.4013
Ru: 0.0000 0.5000 0.3008
Cl: 0.0000 0.5000 0.7776

---

## BaRu2Cl (PBE-GGA)

Data for a geometry-optimized BaRu2Cl structure.

Computed properties:
For the total energy, the calculation gives -4.677 eV per atom. The value obtained for the density of states at the Fermi level is 5.4 states/eV/f.u. The calculation puts the uncorrected formation energy at 349 kJ/mol of formula units.

Unit cell a=5.4335 b=11.1375 c=3.0952 alpha=90.00 beta=90.00 gamma=90.00
Space group Cmmm (No. 65)
One atom of each set of equivalent atoms:
Ba: 0.0000 0.0000 0.0000
Ru: 0.2500 0.2500 0.5000
Cl: 0.0000 0.5000 0.0000

---

## BaRu3Cl (PBE-GGA)

Data for a geometry-optimized BaRu3Cl structure.

Computed properties:
For the total energy, the calculation gives -3.753 eV per atom. The value obtained for the density of states at the Fermi level is 7.5 states/eV/f.u. The calculation puts the uncorrected formation energy at 1238 kJ/mol of formula units.

Unit cell a=5.2030 b=5.2030 c=5.2030 alpha=90.00 beta=90.00 gamma=90.00
Space group Pm-3m (No. 221)
One atom of each set of equivalent atoms:
Ba: 0.0000 0.0000 0.0000
Ru: 0.0000 0.0000 0.5000
Cl: 0.5000 0.5000 0.5000

---

## BaRuS2Cl (PBE-GGA)

Data for a geometry-optimized BaRuS2Cl structure.

Computed properties:
For the total energy, the calculation gives -5.195 eV per atom. The value obtained for the density of states at the Fermi level is 3.3 states/eV/f.u. The calculation puts the uncorrected formation energy at -451 kJ/mol of formula units.

Unit cell a=4.7536 b=4.7536 c=5.0701 alpha=90.00 beta=90.00 gamma=90.00
Space group P4/mmm (No. 123)
One atom of each set of equivalent atoms:
Ba: 0.0000 0.0000 0.0000
Ru: 0.5000 0.5000 0.5000
S: 0.0000 0.5000 0.5000
Cl: 0.5000 0.5000 0.0000

---

## BaRuS2Cl (PBE-GGA)

Data for a geometry-optimized BaRuS2Cl structure.

Computed properties:
For the total energy, the calculation gives -3.489 eV per atom. The value obtained for the density of states at the Fermi level is 11.2 states/eV/f.u. The calculation puts the uncorrected formation energy at 372 kJ/mol of formula units.

Unit cell a=5.8657 b=5.8657 c=5.7451 alpha=90.00 beta=90.00 gamma=90.00
Space group P4/mmm (No. 123)
One atom of each set of equivalent atoms:
Ba: 0.0000 0.0000 0.0000
Ru: 0.5000 0.5000 0.5000
S: 0.0000 0.5000 0.0000
Cl: 0.0000 0.0000 0.5000

---

## BaScRuCl2 (PBE-GGA)

Data for a geometry-optimized BaScRuCl2 structure.

Computed properties:
For the total energy, the calculation gives -3.918 eV per atom. The value obtained for the density of states at the Fermi level is 6.1 states/eV/f.u. The calculation puts the uncorrected formation energy at 158 kJ/mol of formula units.

Unit cell a=5.7087 b=5.7087 c=5.4585 alpha=90.00 beta=90.00 gamma=90.00
Space group P4/mmm (No. 123)
One atom of each set of equivalent atoms:
Ba: 0.0000 0.0000 0.0000
Sc: 0.5000 0.5000 0.5000
Ru: 0.0000 0.0000 0.5000
Cl: 0.0000 0.5000 0.0000

---

## BaRuSeCl2 (PBE-GGA)

Data for a geometry-optimized BaRuSeCl2 structure.

Computed properties:
For the total energy, the calculation gives -3.358 eV per atom. The value obtained for the density of states at the Fermi level is 2.3 states/eV/f.u. The calculation puts the uncorrected formation energy at 153 kJ/mol of formula units.

Unit cell a=5.6807 b=5.6807 c=8.6107 alpha=90.00 beta=90.00 gamma=90.00
Space group P4/mmm (No. 123)
One atom of each set of equivalent atoms:
Ba: 0.0000 0.0000 0.0000
Ru: 0.0000 0.0000 0.5000
Se: 0.5000 0.5000 0.5000
Cl: 0.0000 0.5000 0.0000

---

## BaSn2RuCl (PBE-GGA)

Data for a geometry-optimized BaSn2RuCl structure.

Computed properties:
For the total energy, the calculation gives -3.904 eV per atom. The value obtained for the density of states at the Fermi level is 3.4 states/eV/f.u. The calculation puts the uncorrected formation energy at 148 kJ/mol of formula units.

Unit cell a=5.5964 b=5.5964 c=4.4972 alpha=90.00 beta=90.00 gamma=90.00
Space group P4/mmm (No. 123)
One atom of each set of equivalent atoms:
Ba: 0.0000 0.0000 0.0000
Sn: 0.0000 0.5000 0.5000
Ru: 0.5000 0.5000 0.0000
Cl: 0.5000 0.5000 0.5000

---

## BaTaRu2Cl (PBE-GGA)

Data for a geometry-optimized BaTaRu2Cl structure.

Computed properties:
For the total energy, the calculation gives -5.806 eV per atom. The value obtained for the density of states at the Fermi level is 6.4 states/eV/f.u. The calculation puts the uncorrected formation energy at 496 kJ/mol of formula units.

Unit cell a=4.6969 b=4.6969 c=4.6298 alpha=90.00 beta=90.00 gamma=90.00
Space group P4/mmm (No. 123)
One atom of each set of equivalent atoms:
Ba: 0.0000 0.0000 0.0000
Ta: 0.5000 0.5000 0.0000
Ru: 0.0000 0.5000 0.5000
Cl: 0.5000 0.5000 0.5000

---

## BaTe2RuCl (PBE-GGA)

Data for a geometry-optimized BaTe2RuCl structure.

Computed properties:
For the total energy, the calculation gives -3.316 eV per atom. The value obtained for the density of states at the Fermi level is 2.3 states/eV/f.u. The calculation puts the uncorrected formation energy at 265 kJ/mol of formula units.

Unit cell a=5.7001 b=5.7001 c=5.5453 alpha=90.00 beta=90.00 gamma=90.00
Space group P4/mmm (No. 123)
One atom of each set of equivalent atoms:
Ba: 0.0000 0.0000 0.0000
Te: 0.0000 0.5000 0.5000
Ru: 0.5000 0.5000 0.0000
Cl: 0.0000 0.0000 0.5000

---

## BaTl2RuCl8 (PBE-GGA)

Data for a geometry-optimized BaTl2RuCl8 structure.

Computed properties:
For the total energy, the calculation gives -3.707 eV per atom. The value obtained for the density of states at the Fermi level is 4.8 states/eV/f.u. The calculation puts the uncorrected formation energy at -1329 kJ/mol of formula units.

Unit cell a=6.0321 b=7.9573 c=8.7805 alpha=89.94 beta=89.95 gamma=68.82
Space group P-1 (No. 2)
One atom of each set of equivalent atoms:
Ba: 0.0000 0.0000 0.0000
Tl: 0.4987 0.4995 0.2612
Ru: 0.0000 0.0000 0.5000
Cl: 0.0483 0.1966 0.3072
Cl: 0.0497 0.1959 0.6925
Cl: 0.4012 0.8346 0.4993
Cl: 0.4762 0.2578 0.9996

---

## Ba2RuWCl (PBE-GGA)

Data for a geometry-optimized Ba2RuWCl structure.

Computed properties:
For the total energy, the calculation gives -5.363 eV per atom. The value obtained for the density of states at the Fermi level is 4.9 states/eV/f.u. The calculation puts the uncorrected formation energy at 107 kJ/mol of formula units.

Unit cell a=6.2598 b=6.2598 c=4.6363 alpha=90.00 beta=90.00 gamma=90.00
Space group P4/mmm (No. 123)
One atom of each set of equivalent atoms:
Ba: 0.0000 0.5000 0.0000
Ru: 0.0000 0.0000 0.0000
W: 0.0000 0.0000 0.5000
Cl: 0.5000 0.5000 0.5000

---

Number 1: spin magnetization 0.24 μB per atom. Number 2: spin magnetization 0.00 μB per atom. Number 3: spin magnetization 0.64 μB per atom. Number 4: spin magnetization 1.13 μB per atom. Number 5: spin magnetization 0.41 μB per atom. Number 6: spin magnetization 1.01 μB per atom. Number 7: spin magnetization 0.39 μB per atom. Number 8: spin magnetization 0.80 μB per atom. Number 9: spin magnetization 0.12 μB per atom. Number 10: spin magnetization 0.00 μB per atom. Number 11: spin magnetization 0.56 μB per atom. Number 12: spin magnetization 0.17 μB per atom. Number 13: spin magnetization 0.48 μB per atom.